! PBE TaTe2PbN, relaxed; values from VASP
&SYSTEM
  ibrav = 0, nat = 5, ntyp = 4
/
ATOMIC_SPECIES
Ta 180.95 Ta.upf
Te 127.60 Te.upf
Pb 207.20 Pb.upf
N 14.01 N.upf
ATOMIC_POSITIONS crystal
Ta 0.000 0.000 0.000
Te 0.000 0.500 0.500
Te 0.500 0.000 0.500
Pb 0.500 0.500 0.500
N 0.500 0.500 0.000
CELL_PARAMETERS angstrom
5.812 0.000 0.000
0.000 5.812 0.000
0.000 0.000 4.082
! **Uncorrected energy**: -4.37 eV/atom
! **ΔE_f (raw)**: 1664 meV per atom
! **DOS(E_F)**: 5.85 states/eV per cell
! **Total magnetic moment**: 3.21 μB/f.u.

! PBE SbPbSe2, relaxed; values from VASP
&SYSTEM
  ibrav = 0, nat = 12, ntyp = 3
/
ATOMIC_SPECIES
Sb 121.76 Sb.upf
Pb 207.20 Pb.upf
Se 78.96 Se.upf
ATOMIC_POSITIONS crystal
Sb 0.000 0.000 0.000
Sb 0.333 0.667 0.667
Sb 0.667 0.333 0.333
Pb 0.000 0.000 0.831
Pb 0.333 0.667 0.498
Pb 0.667 0.333 0.165
Se 0.000 0.000 0.408
Se 0.000 0.000 0.592
Se 0.333 0.667 0.075
Se 0.333 0.667 0.259
Se 0.667 0.333 0.742
Se 0.667 0.333 0.926
CELL_PARAMETERS angstrom
3.995 0.000 0.000
-1.997 3.459 0.000
0.000 0.000 24.251
! **Uncorrected energy**: -3.94 eV/atom
! **ΔE_f (raw)**: -237 meV per atom
! **DOS(E_F)**: 3.68 states/eV per cell
! **Total magnetic moment**: 0.00 μB/f.u.

! PBE CoPdRh2N, relaxed; values from VASP
&SYSTEM
  ibrav = 0, nat = 5, ntyp = 4
/
ATOMIC_SPECIES
Co 58.93 Co.upf
Pd 106.42 Pd.upf
Rh 102.91 Rh.upf
N 14.01 N.upf
ATOMIC_POSITIONS crystal
Co 0.000 0.000 0.000
Pd 0.500 0.500 0.000
Rh 0.000 0.500 0.500
Rh 0.500 0.000 0.500
N 0.000 0.000 0.500
CELL_PARAMETERS angstrom
4.086 0.000 0.000
0.000 4.086 0.000
0.000 0.000 3.800
! **Uncorrected energy**: -6.87 eV/atom
! **ΔE_f (raw)**: 197 meV per atom
! **DOS(E_F)**: 7.71 states/eV per cell
! **Total magnetic moment**: 2.77 μB/f.u.

! PBE Tm4GeBi2Te, relaxed; values from VASP
&SYSTEM
  ibrav = 0, nat = 8, ntyp = 4
/
ATOMIC_SPECIES
Tm 168.93 Tm.upf
Ge 72.64 Ge.upf
Bi 208.98 Bi.upf
Te 127.60 Te.upf
ATOMIC_POSITIONS crystal
Tm 0.229 0.000 0.230
Tm 0.235 0.500 0.760
Tm 0.765 0.500 0.240
Tm 0.771 0.000 0.770
Ge 0.000 0.500 0.000
Bi 0.000 0.000 0.500
Bi 0.500 0.500 0.500
Te 0.500 0.000 0.000
CELL_PARAMETERS angstrom
7.499 0.000 0.000
0.000 4.299 0.000
-2.463 0.000 7.100
! **Uncorrected energy**: -5.10 eV/atom
! **ΔE_f (raw)**: -923 meV per atom
! **DOS(E_F)**: 1.63 states/eV per cell
! **Total magnetic moment**: 0.00 μB/f.u.